VASP calculation (GGA-PBE) on NaZnBO3 after structural relaxation.

Properties
Crystal system: monoclinic
Calculated volume in Å³/f.u.: 73
DOS(E_F) in states/eV/f.u.: 0.00
E_form (uncorrected) in eV per atom: -1.68

a b c (Å): 5.7552 2.8633 9.2507
angles (deg): 90.00 106.45 90.00
Space group P2_1/m (No. 11)
Asymmetric unit:
Na1 0.0656 0.2500 0.1522
Zn1 0.4354 0.7500 0.8693
B1 0.1069 0.2500 0.5865
O1 0.1552 0.7500 0.5101
O2 0.1801 0.2500 0.7394
O3 0.3111 0.7500 0.0655

=====

VASP calculation (GGA-PBE) on Na3ZrB2O6 after structural relaxation.

Properties
Crystal system: trigonal
Calculated volume in Å³/f.u.: 164
DOS(E_F) in states/eV/f.u.: 1.98
E_form (uncorrected) in eV per atom: -2.27

a b c (Å): 5.2599 5.2599 6.8439
angles (deg): 90.00 90.00 120.00
Space group P-3m1 (No. 164)
Asymmetric unit:
Na1 0.0000 0.0000 0.0000
Na2 0.3333 0.6667 0.7551
Zr1 0.0000 0.0000 0.5000
B1 0.3333 0.6667 0.3009
O1 0.1814 0.3628 0.3046

=====

VASP calculation (GGA-PBE) on NaB2Os after structural relaxation.

Properties
Crystal system: tetragonal
Calculated volume in Å³/f.u.: 77
DOS(E_F) in states/eV/f.u.: 2.28
Offset from the most stable computed form in kJ/mol of formula units: 0.0
Energy relative to the elements in kJ/mol of atoms: 49

a b c (Å): 5.0613 5.0613 12.0895
angles (deg): 90.00 90.00 90.00
Space group I4_1/amd (No. 141, origin choice 2)
Asymmetric unit:
Na1 0.0000 0.2500 0.3750
B1 0.0000 0.0000 0.0000
Os1 0.0000 0.2500 0.8750

=====

VASP calculation (GGA-PBE) on NaBOs3 after structural relaxation.

Properties
Crystal system: cubic
Calculated volume in Å³/f.u.: 71
DOS(E_F) in states/eV/f.u.: 6.22
Offset from the most stable computed form in kJ/mol of formula units: 0.0
Energy relative to the elements in kJ/mol of atoms: 73

a b c (Å): 4.1461 4.1461 4.1461
angles (deg): 90.00 90.00 90.00
Space group Pm-3m (No. 221)
Asymmetric unit:
Na1 0.0000 0.0000 0.0000
B1 0.5000 0.5000 0.5000
Os1 0.0000 0.5000 0.5000

=====

VASP calculation (GGA-PBE) on NaB2Os after structural relaxation.

Properties
Crystal system: cubic
Calculated volume in Å³/f.u.: 42
DOS(E_F) in states/eV/f.u.: 2.77
Offset from the most stable computed form in kJ/mol of formula units: 202.2
Energy relative to the elements in kJ/mol of atoms: 100

a b c (Å): 5.5359 5.5359 5.5359
angles (deg): 90.00 90.00 90.00
Space group Fm-3m (No. 225)
Asymmetric unit:
Na1 0.0000 0.0000 0.0000
B1 0.2500 0.2500 0.2500
Os1 0.0000 0.0000 0.5000

=====

VASP calculation (GGA-PBE) on NaB3Os after structural relaxation.

Properties
Crystal system: cubic
Calculated volume in Å³/f.u.: 71
DOS(E_F) in states/eV/f.u.: 0.00
Offset from the most stable computed form in kJ/mol of formula units: 0.0
Energy relative to the elements in kJ/mol of atoms: 44

a b c (Å): 4.1314 4.1314 4.1314
angles (deg): 90.00 90.00 90.00
Space group Pm-3m (No. 221)
Asymmetric unit:
Na1 0.0000 0.0000 0.0000
B1 0.0000 0.5000 0.5000
Os1 0.5000 0.5000 0.5000

=====

VASP calculation (GGA-PBE) on NaBOs3 after structural relaxation.

Properties
Crystal system: cubic
Calculated volume in Å³/f.u.: 87
DOS(E_F) in states/eV/f.u.: 7.76
Offset from the most stable computed form in kJ/mol of formula units: 1540.2
Energy relative to the elements in kJ/mol of atoms: 381

a b c (Å): 4.4388 4.4388 4.4388
angles (deg): 90.00 90.00 90.00
Space group Pm-3m (No. 221)
Asymmetric unit:
Na1 0.0000 0.0000 0.0000
B1 0.5000 0.5000 0.5000
Os1 0.0000 0.0000 0.5000

=====

VASP calculation (GGA-PBE) on Na2BOs after structural relaxation.

Properties
Crystal system: tetragonal
Calculated volume in Å³/f.u.: 101
DOS(E_F) in states/eV/f.u.: 1.32
Energy relative to the elements in kJ/mol of atoms: 91

a b c (Å): 10.0669 10.0669 3.9895
angles (deg): 90.00 90.00 90.00
Space group I-42d (No. 122)
Asymmetric unit:
Na1 0.0801 0.2500 0.1250
B1 0.0000 0.0000 0.0000
Os1 0.0000 0.0000 0.5000

=====

VASP calculation (GGA-PBE) on NaBOs after structural relaxation.

Properties
Crystal system: tetragonal
Calculated volume in Å³/f.u.: 46
DOS(E_F) in states/eV/f.u.: 2.04
Energy relative to the elements in kJ/mol of atoms: 3

a b c (Å): 4.0867 4.0867 5.5184
angles (deg): 90.00 90.00 90.00
Space group P4/nmm (No. 129, origin choice 2)
Asymmetric unit:
Na1 0.2500 0.2500 0.0866
B1 0.2500 0.2500 0.6003
Os1 0.2500 0.7500 0.5000

=====

VASP calculation (GGA-PBE) on NaB3Os after structural relaxation.

Properties
Crystal system: cubic
Calculated volume in Å³/f.u.: 61
DOS(E_F) in states/eV/f.u.: 2.96
Offset from the most stable computed form in kJ/mol of formula units: 1353.6
Energy relative to the elements in kJ/mol of atoms: 315

a b c (Å): 3.9394 3.9394 3.9394
angles (deg): 90.00 90.00 90.00
Space group Pm-3m (No. 221)
Asymmetric unit:
Na1 0.0000 0.0000 0.0000
B1 0.0000 0.0000 0.5000
Os1 0.5000 0.5000 0.5000

=====

VASP calculation (GGA-PBE) on NaB2OsPt after structural relaxation.

Properties
Crystal system: tetragonal
Calculated volume in Å³/f.u.: 80
DOS(E_F) in states/eV/f.u.: 4.23
Energy relative to the elements in kJ/mol of atoms: 291

a b c (Å): 4.1212 4.1212 4.7180
angles (deg): 90.00 90.00 90.00
Space group P4/mmm (No. 123)
Asymmetric unit:
Na1 0.0000 0.0000 0.0000
B1 0.0000 0.5000 0.0000
Os1 0.0000 0.0000 0.5000
Pt1 0.5000 0.5000 0.5000

=====

VASP calculation (GGA-PBE) on NaB2P after structural relaxation.

Properties
Crystal system: tetragonal
Calculated volume in Å³/f.u.: 66
DOS(E_F) in states/eV/f.u.: 1.71
Energy relative to the elements in kJ/mol of atoms: 82

a b c (Å): 5.5566 5.5566 8.6114
angles (deg): 90.00 90.00 90.00
Space group I-42d (No. 122)
Asymmetric unit:
Na1 0.0000 0.0000 0.0000
B1 0.1244 0.2500 0.6250
P1 0.0000 0.0000 0.5000